First-principles (GGA+U) data for a geometry-optimized Ni2HO structure, as listed in Alexandria.

abc: 4.2897 4.2897 5.2925
angles: 66.09 66.09 90.00
Last column: nearest neighbours and their distance in Å.
Element x y z (fractional)
Ni: 0.6019 0.1250 0.2500  2 H 1.81, 2 O 1.92
Ni: 0.1481 0.6250 0.2500  2 H 1.81, 2 O 1.92
Ni: 0.3750 0.3981 0.7500  2 H 1.81, 2 O 1.92
Ni: 0.8750 0.8519 0.7500  2 H 1.81, 2 O 1.92
O: 0.0000 0.0000 0.0000  4 Ni 1.92
O: 0.7500 0.2500 0.5000  4 Ni 1.92
H: 0.5000 0.5000 0.0000  4 Ni 1.81
H: 0.2500 0.7500 0.5000  4 Ni 1.81

Properties
Its final energy is -3.409 eV per atom. As for the density of states at the Fermi level: 0.198 states/eV per atom. The calculation puts the offset from the most stable computed form at 0 meV per atom. The value obtained for the mass density is 5.6 g cm⁻³. As for the total magnetization: 3.00 μB per formula unit.